(1)
Crystalline Dy3Y2Er7 at its relaxed geometry. Source: Alexandria, functional PBE.

Results
Polymorph energy (0 for the lowest one): 0.000 eV/atom
Final energy: -57.67 eV for the cell shown

Lattice parameters (Å, degrees): 6.2786 3.4895 17.2957 90.00 96.20 90.00
Space group P2/m (No. 10)
One atom of each set of equivalent atoms:
1 Dy 0.0000 0.0000 0.0000
2 Dy 0.0506 0.5000 0.6572
3 Y 0.4401 0.0000 0.3263
4 Er 0.2259 0.5000 0.1645
5 Er 0.2450 0.0000 0.5011
6 Er 0.2743 0.0000 0.8331
7 Er 0.5000 0.5000 0.0000

***

(2)
Crystalline Dy4Y15Er at its relaxed geometry. Source: Alexandria, functional PBE.

Results
Final energy: -119.46 eV for the cell shown

Lattice parameters (Å, degrees): 5.0365 5.0365 25.1915 90.00 90.00 90.00
Space group P4/mmm (No. 123)
One atom of each set of equivalent atoms:
1 Dy 0.0000 0.0000 0.1000
2 Dy 0.0000 0.0000 0.3001
3 Y 0.0000 0.5000 0.0000
4 Y 0.0000 0.5000 0.2000
5 Y 0.0000 0.5000 0.4003
6 Y 0.5000 0.5000 0.1000
7 Y 0.5000 0.5000 0.3002
8 Y 0.5000 0.5000 0.5000
9 Er 0.0000 0.0000 0.5000

***

(3)
Crystalline Dy2YEr9 at its relaxed geometry. Source: Alexandria, functional PBE.

Results
Polymorph energy (0 for the lowest one): 0.000 eV/atom
Final energy: -56.45 eV for the cell shown

Lattice parameters (Å, degrees): 4.9771 4.9771 14.9274 90.00 90.00 90.00
Space group P4/mmm (No. 123)
One atom of each set of equivalent atoms:
1 Dy 0.0000 0.0000 0.1666
2 Y 0.0000 0.0000 0.5000
3 Er 0.0000 0.5000 0.0000
4 Er 0.0000 0.5000 0.3327
5 Er 0.5000 0.5000 0.1665
6 Er 0.5000 0.5000 0.5000

***

(4)
Crystalline Dy12Y2Er at its relaxed geometry. Source: Alexandria, functional PBE.

Results
Final energy: -283.98 eV for the cell shown

Lattice parameters (Å, degrees): 7.1186 11.1398 24.2624 90.00 94.15 90.00
Space group C2/m (No. 12)
One atom of each set of equivalent atoms:
1 Dy 0.0186 0.2499 0.0735
2 Dy 0.1121 0.2499 0.4446
3 Dy 0.1427 0.0000 0.5741
4 Dy 0.1428 0.5000 0.5756
5 Dy 0.1671 0.2470 0.6703
6 Dy 0.2001 0.2575 0.7992
7 Dy 0.2142 0.0000 0.8591
8 Dy 0.2164 0.5000 0.8681
9 Y 0.0651 0.5000 0.2717
10 Y 0.0710 0.0000 0.2718
11 Er 0.2491 0.0000 0.9960

***

(5)
Crystalline Dy2YEr8 at its relaxed geometry. Source: Alexandria, functional PBE.

Results
Polymorph energy (0 for the lowest one): 0.036 eV/atom
Final energy: -100.90 eV for the cell shown

Lattice parameters (Å, degrees): 9.0603 16.5649 5.8615 90.00 127.41 90.00
Space group C2/m (No. 12)
One atom of each set of equivalent atoms:
1 Dy 0.0000 0.1895 0.0000
2 Y 0.0000 0.5000 0.5000
3 Er 0.0000 0.2972 0.5000
4 Er 0.0453 0.0000 0.2820
5 Er 0.2229 0.3743 0.2047

***

(6)
Crystalline DyY2Er12 at its relaxed geometry. Source: Alexandria, functional PBE.

Results
Final energy: -71.20 eV for the cell shown

Lattice parameters (Å, degrees): 3.6008 5.6156 23.2405 90.00 94.41 90.00
Space group P2/m (No. 10)
One atom of each set of equivalent atoms:
1 Dy 0.0000 0.0000 0.0000
2 Y 0.1420 0.0000 0.2850
3 Er 0.0974 0.5000 0.1928
4 Er 0.2212 0.5000 0.4428
5 Er 0.2874 0.0000 0.5743
6 Er 0.3392 0.5000 0.6775
7 Er 0.4276 0.0000 0.8535
8 Er 0.4633 0.5000 0.9332

***

(7)
Crystalline Dy6YEr12 at its relaxed geometry. Source: Alexandria, functional PBE.

Results
Polymorph energy (0 for the lowest one): 0.290 eV/atom
Final energy: -240.71 eV for the cell shown

Lattice parameters (Å, degrees): 15.0208 15.0208 9.8561 90.00 90.00 120.00
Space group R-3m (No. 166, hexagonal axes)
One atom of each set of equivalent atoms:
1 Dy 0.0521 0.5260 0.2077
2 Y 0.0000 0.0000 0.0000
3 Er 0.0000 0.3899 0.5000
4 Er 0.0718 0.1437 0.2893

***

(8)
Crystalline Dy2Y12Er5 at its relaxed geometry. Source: Alexandria, functional PBE.

Results
Polymorph energy (0 for the lowest one): 0.000 eV/atom
Final energy: -107.91 eV for the cell shown

Lattice parameters (Å, degrees): 6.7144 8.8174 11.3316 110.95 92.37 100.70
Space group P-1 (No. 2)
One atom of each set of equivalent atoms:
1 Dy 0.1198 0.2681 0.0153
2 Y 0.1087 0.6911 0.2231
3 Y 0.1203 0.8564 0.7677
4 Y 0.1633 0.4454 0.5878
5 Y 0.3362 0.4288 0.3132
6 Y 0.3424 0.0246 0.1317
7 Y 0.3846 0.2195 0.7559
8 Er 0.0000 0.0000 0.5000
9 Er 0.3444 0.6155 0.9321
10 Er 0.4567 0.8196 0.5371

***

(9)
Crystalline Dy7Y6Er16 at its relaxed geometry. Source: Alexandria, functional PBE.

Results
Final energy: -548.26 eV for the cell shown

Lattice parameters (Å, degrees): 15.6085 15.6085 15.6085 90.00 90.00 90.00
Space group Fm-3m (No. 225)
One atom of each set of equivalent atoms:
1 Dy 0.0000 0.0000 0.0000
2 Dy 0.0000 0.2500 0.2500
3 Y 0.0000 0.0000 0.2825
4 Er 0.1224 0.1224 0.1224
5 Er 0.1538 0.1538 0.3462

***

(10)
Crystalline Dy5Y2Er6 at its relaxed geometry. Source: Alexandria, functional PBE.

Results
Final energy: -124.08 eV for the cell shown

Lattice parameters (Å, degrees): 11.5876 20.0703 3.5478 90.00 90.00 90.00
Space group Pbam (No. 55)
One atom of each set of equivalent atoms:
1 Dy 0.0000 0.0000 0.0000
2 Dy 0.0924 0.2745 0.0000
3 Dy 0.1994 0.5501 0.0000
4 Y 0.1658 0.7111 0.5000
5 Er 0.0586 0.4196 0.5000
6 Er 0.0816 0.1323 0.5000
7 Er 0.1741 0.8669 0.0000

***

(11)
Crystalline Dy2Y3Er at its relaxed geometry. Source: Alexandria, functional PBE.

Results
Polymorph energy (0 for the lowest one): 0.000 eV/atom
Final energy: -132.05 eV for the cell shown

Lattice parameters (Å, degrees): 17.4057 7.1015 6.1441 90.00 90.03 90.00
Space group C2/c (No. 15)
One atom of each set of equivalent atoms:
1 Dy 0.1665 0.1251 0.4168
2 Y 0.0000 0.1253 0.7500
3 Y 0.1663 0.3751 0.9173
4 Er 0.0000 0.3752 0.2500

***

(12)
Crystalline Dy3Y8Er4 at its relaxed geometry. Source: Alexandria, functional PBE.

Results
Polymorph energy (0 for the lowest one): 0.246 eV/atom
Final energy: -155.30 eV for the cell shown

Lattice parameters (Å, degrees): 13.3623 12.7992 6.7204 90.00 120.12 90.00
Space group C2/m (No. 12)
One atom of each set of equivalent atoms:
1 Dy 0.0000 0.0000 0.0000
2 Dy 0.2500 0.2500 0.0000
3 Y 0.0000 0.1432 0.5000
4 Y 0.0000 0.2499 0.0000
5 Y 0.2324 0.0000 0.9661
6 Y 0.2364 0.0000 0.4904
7 Er 0.0000 0.5000 0.0000
8 Er 0.0000 0.5000 0.5000
9 Er 0.2500 0.2500 0.5000

***

(13)
Crystalline DyYEr3 at its relaxed geometry. Source: Alexandria, functional PBE.

Results
Polymorph energy (0 for the lowest one): 0.041 eV/atom
Final energy: -196.31 eV for the cell shown

Lattice parameters (Å, degrees): 15.1700 13.0431 6.4945 90.00 103.38 90.00
Space group C2/c (No. 15)
One atom of each set of equivalent atoms:
1 Dy 0.0000 0.0776 0.2500
2 Dy 0.0000 0.1841 0.7500
3 Y 0.1007 0.4232 0.9514
4 Er 0.1009 0.3142 0.4503
5 Er 0.1996 0.0774 0.6483
6 Er 0.2004 0.1843 0.1498

***

(14)
Crystalline Dy2Y5Er6 at its relaxed geometry. Source: Alexandria, functional PBE.

Results
Final energy: -135.16 eV for the cell shown

Lattice parameters (Å, degrees): 11.5581 20.1588 3.5655 90.00 90.00 90.00
Space group Pbam (No. 55)
One atom of each set of equivalent atoms:
1 Dy 0.1677 0.2104 0.0000
2 Y 0.0000 0.5000 0.5000
3 Y 0.0892 0.7739 0.5000
4 Y 0.1979 0.0509 0.5000
5 Er 0.0608 0.9196 0.0000
6 Er 0.0825 0.6320 0.0000
7 Er 0.1722 0.3643 0.5000

***

(15)
Crystalline Dy6YEr12 at its relaxed geometry. Source: Alexandria, functional PBE.

Results
Polymorph energy (0 for the lowest one): 0.000 eV/atom
Final energy: -257.23 eV for the cell shown

Lattice parameters (Å, degrees): 11.7848 11.7848 15.0998 90.00 90.00 120.00
Space group R-3 (No. 148, hexagonal axes)
One atom of each set of equivalent atoms:
1 Dy 0.0092 0.5872 0.1777
2 Y 0.0000 0.0000 0.5000
3 Er 0.0195 0.1826 0.6917
4 Er 0.0400 0.1882 0.9155